[1]
This record from the Open Quantum Materials Database describes a geometry-optimized GdTlPO structure. The functional is GGA-PBE.

Cell lengths 5.766, 5.766, 4.973 Å; angles 90.00, 90.00, 90.00 degrees
Positions (direct):
Gd: 0.250 0.750 0.000
Gd: 0.750 0.250 0.000
Tl: 0.250 0.250 0.496
Tl: 0.750 0.750 0.504
P: 0.250 0.250 0.995
P: 0.750 0.750 0.005
O: 0.250 0.750 0.500
O: 0.750 0.250 0.500

Properties
Relative energy among the computed polymorphs: 0.667 eV per formula unit
Final energy: -22.0 eV per formula unit


[2]
This record from the Open Quantum Materials Database describes a geometry-optimized PuCuAu structure. The functional is GGA-PBE.

Cell lengths 6.770, 4.569, 7.829 Å; angles 90.00, 90.00, 90.00 degrees
Positions (direct):
Pu: 0.002 0.250 0.211
Pu: 0.498 0.750 0.711
Pu: 0.502 0.250 0.289
Pu: 0.998 0.750 0.789
Cu: 0.201 0.750 0.416
Cu: 0.299 0.250 0.916
Cu: 0.701 0.750 0.084
Cu: 0.799 0.250 0.584
Au: 0.208 0.250 0.587
Au: 0.292 0.750 0.087
Au: 0.708 0.250 0.913
Au: 0.792 0.750 0.413

Properties
Relative energy among the computed polymorphs: 0.000 eV per formula unit
Final energy: -22.2 eV per formula unit
Calculated formation energy: -0.35 eV per atom


[3]
This record from the Open Quantum Materials Database describes a geometry-optimized RbTaNiTe3 structure. The functional is GGA-PBE.

Cell lengths 8.917, 8.917, 10.349 Å; angles 90.00, 90.00, 155.22 degrees
Positions (direct):
Rb: 0.249 0.751 0.750
Rb: 0.751 0.249 0.250
Ta: 0.500 0.500 0.000
Ta: 0.500 0.500 0.500
Ni: 0.024 0.976 0.250
Ni: 0.976 0.024 0.750
Te: 0.113 0.887 0.060
Te: 0.113 0.887 0.440
Te: 0.430 0.570 0.250
Te: 0.570 0.430 0.750
Te: 0.887 0.113 0.560
Te: 0.887 0.113 0.940

Properties
Final energy: -30.6 eV per formula unit


[4]
This record from the Open Quantum Materials Database describes a geometry-optimized CuAg7 structure. The functional is GGA-PBE.

Cell lengths 8.691, 8.691, 8.691 Å; angles 152.67, 152.67, 39.04 degrees
Positions (direct):
Cu: 0.000 0.000 0.000
Ag: 0.121 0.621 0.500
Ag: 0.250 0.250 0.000
Ag: 0.379 0.879 0.500
Ag: 0.500 0.500 0.000
Ag: 0.621 0.121 0.500
Ag: 0.750 0.750 0.000
Ag: 0.879 0.379 0.500

Properties
Relative energy among the computed polymorphs: 0.098 eV per formula unit
Final energy: -23.2 eV per formula unit
Calculated formation energy: 0.04 eV per atom